# RuAu2Cl

RuAu2Cl after structural relaxation (GGA-PBE, Alexandria via LeMat-Bulk).

E_form (uncorrected): 0.634 eV/atom
Volume: 17.6 Å³/atom
Symmetry: No. 65

The structure in POSCAR format:
```
RuAu2Cl
1.0
5.378 0.000 0.000
0.000 9.367 0.000
0.000 0.000 2.789
Ru Au Cl
2 4 2
Direct
0.000 0.000 0.000 Ru
0.500 0.500 0.000 Ru
0.250 0.250 0.500 Au
0.250 0.750 0.500 Au
0.750 0.250 0.500 Au
0.750 0.750 0.500 Au
0.000 0.500 0.000 Cl
0.500 0.000 0.000 Cl
```